CrGa2NiTe: optimized geometry, PBE-GGA.

Geometry as extended XYZ:
```
5
Lattice="5.3552 0.0000 0.0000 0.0000 5.3552 0.0000 0.0000 0.0000 4.5367" Properties=species:S:1:pos:R:3 pbc="T T T"
Cr 0.0000 0.0000 0.0000
Ga 0.0000 2.6776 2.2684
Ga 2.6776 0.0000 2.2684
Ni 2.6776 2.6776 0.0000
Te 2.6776 2.6776 2.2684
```

Summary:
Uncorrected formation energy = 1.510 eV per atom

MgTcPt2: optimized geometry, PBE-GGA.

Geometry as extended XYZ:
```
4
Lattice="2.7927 0.0000 0.0000 0.0000 2.7927 0.0000 0.0000 0.0000 7.9099" Properties=species:S:1:pos:R:3 pbc="T T T"
Mg 0.0000 0.0000 0.0000
Tc 0.0000 0.0000 3.9549
Pt 1.3964 1.3964 2.0411
Pt 1.3964 1.3964 5.8687
```

Summary:
E_form = -441 meV per atom

RhSe: optimized geometry, PBE-GGA.

Geometry as extended XYZ:
```
2
Lattice="1.6094 0.9292 3.6908 -1.6094 0.9292 3.6908 0.0000 -1.8583 3.6908" Properties=species:S:1:pos:R:3 pbc="T T T"
Rh 0.0000 0.0000 0.0000
Se 0.0000 0.0000 5.5363
```

Summary:
Uncorrected formation energy = -0.016 eV per atom

CoOsRh2: optimized geometry, PBE-GGA.

Geometry as extended XYZ:
```
4
Lattice="-1.3569 2.1992 4.6077 1.3569 -2.1992 4.6077 1.3569 2.1992 -4.6077" Properties=species:S:1:pos:R:3 pbc="T T T"
Co 0.0000 0.0000 0.0000
Os 1.3569 0.0000 1.9847
Rh 0.0000 0.0000 4.4284
Rh 0.0000 2.1992 2.4934
```

Summary:
E_form = 284 meV per atom